Density functional theory data (GGA-PBEsol) for a relaxed structure of HgP2Ru.

Cell: 5.5060 5.5060 6.7223 Å, 114.18 114.18 90.00°
Fractional positions:
1 Hg 0.0000 0.0000 0.0000
2 Hg 0.2500 0.7500 0.5000
3 P 0.4312 0.8750 0.2500
4 P 0.1250 0.1812 0.7500
5 P 0.8188 0.3750 0.2500
6 P 0.6250 0.5688 0.7500
7 Ru 0.7500 0.2500 0.5000
8 Ru 0.5000 0.5000 0.0000

Values from the calculation:
Raw total energy: -5.49 eV/atom
M_tot: 0.0 μB per formula unit